Compound: MnNbH3
Source: Alexandria
Functional: PBEsol
Structure: relaxed

Total moment, μB/cell: 2.01
Final energy, hartree per atom: -0.2252

abc: 3.291 3.291 3.291
angles: 90.00 90.00 90.00
Positions (direct):
H (0.000, 0.500, 0.000)
H (0.000, 0.000, 0.500)
H (0.500, 0.000, 0.000)
Nb (0.500, 0.500, 0.500)
Mn (0.000, 0.000, 0.000)


Compound: BeZn2As
Source: Alexandria
Functional: PBEsol
Structure: relaxed

ΔE to the lowest computed polymorph, eV per atom: 0.059
Energy of formation, eV per atom: 0.2729
Total moment, μB/cell: 0.00
Final energy, hartree per atom: -0.1027

abc: 3.588 3.588 4.626
angles: 90.00 90.00 91.73
Positions (direct):
Be (0.000, 0.000, 0.500)
As (0.500, 0.500, 0.500)
Zn (0.758, 0.758, 0.000)
Zn (0.242, 0.242, 0.000)


Compound: SrReF3
Source: Alexandria
Functional: PBEsol
Structure: relaxed

Total moment, μB/cell: 6.00
Final energy, hartree per atom: -0.2001
Formation energy without anion corrections, eV per atom: -1.254

abc: 4.672 4.672 4.672
angles: 90.00 90.00 90.00
Positions (direct):
Re (0.500, 0.500, 0.500)
F (0.000, 0.500, 0.000)
F (0.000, 0.000, 0.500)
F (0.500, 0.000, 0.000)
Sr (0.000, 0.000, 0.000)


Compound: CuHg2W
Source: Alexandria
Functional: PBEsol
Structure: relaxed

ΔE to the lowest computed polymorph, eV per atom: 0.062
Energy of formation, eV per atom: 0.6887
Total moment, μB/cell: 0.26
Final energy, hartree per atom: -0.1518

abc: 2.799 5.064 5.188
angles: 105.45 90.00 106.05
Positions (direct):
Cu (0.500, 0.000, 0.000)
Hg (0.764, 0.528, 0.758)
Hg (0.236, 0.472, 0.242)
W (0.000, 0.000, 0.500)


Compound: BeGe3F
Source: Alexandria
Functional: PBEsol
Structure: relaxed

Total moment, μB/cell: 0.00
Final energy, hartree per atom: -0.1395
Formation energy without anion corrections, eV per atom: 0.352

abc: 4.447 4.447 4.447
angles: 90.00 90.00 90.00
Positions (direct):
Be (0.500, 0.500, 0.500)
Ge (0.000, 0.500, 0.000)
Ge (0.000, 0.000, 0.500)
Ge (0.500, 0.000, 0.000)
F (0.000, 0.000, 0.000)


Compound: InTeO2
Source: Alexandria
Functional: PBEsol
Structure: relaxed

Total moment, μB/cell: 0.00
Final energy, hartree per atom: -0.1962
Formation energy without anion corrections, eV per atom: -1.087

abc: 3.355 3.355 6.915
angles: 75.96 75.96 60.00
Positions (direct):
Te (0.000, 0.000, 0.000)
O (0.888, 0.888, 0.337)
O (0.112, 0.112, 0.663)
In (0.500, 0.500, 0.500)